Entry from the Alexandria database: crystalline LaCePu4 at its relaxed geometry (PBE).

## Properties
ΔH_f (0 K): 250 meV/atom

a b c (Å): 8.742 8.742 8.742
angles (deg): 90.00 90.00 90.00
Space group F-43m (No. 216)
One atom of each set of equivalent atoms:
La 0.000 0.000 0.000 [4 per cell]
Ce 0.250 0.250 0.750 [4 per cell]
Pu 0.124 0.124 0.376 [16 per cell]



Entry from the Alexandria database: crystalline ErBeZnCd at its relaxed geometry (PBE).

## Properties
ΔH_f (0 K): -72 meV/atom

a b c (Å): 6.583 6.583 6.583
angles (deg): 90.00 90.00 90.00
Space group F-43m (No. 216)
One atom of each set of equivalent atoms:
Er 0.000 0.000 0.000 [4 per cell]
Be 0.250 0.250 0.750 [4 per cell]
Zn 0.250 0.250 0.250 [4 per cell]
Cd 0.000 0.000 0.500 [4 per cell]



Entry from the Alexandria database: crystalline LaYSi2Pd5 at its relaxed geometry (PBE).

## Properties
Raw formation energy: -776.2 kJ/mol of formula units

a b c (Å): 4.241 4.241 9.051
angles (deg): 90.00 90.00 90.00
Space group P4/mmm (No. 123)
One atom of each set of equivalent atoms:
La 0.000 0.000 0.000 [1 per cell]
Y 0.000 0.000 0.500 [1 per cell]
Si 0.500 0.500 0.370 [2 per cell]
Pd 0.000 0.500 0.238 [4 per cell]
Pd 0.500 0.500 0.000 [1 per cell]



Entry from the Alexandria database: crystalline Zr2PbCl at its relaxed geometry (PBE).

## Properties
Raw formation energy: -132.8 kJ/mol of formula units

a b c (Å): 3.2865 3.2865 27.9150
angles (deg): 90.00 90.00 120.00
Space group R-3m (No. 166, hexagonal axes)
One atom of each set of equivalent atoms:
Zr 0.0000 0.0000 0.2428 [6 per cell]
Pb 0.0000 0.0000 0.0000 [3 per cell]
Cl 0.0000 0.0000 0.5000 [3 per cell]



Entry from the Alexandria database: crystalline CaAcCd4 at its relaxed geometry (PBE).

## Properties
ΔH_f (0 K): -303 meV/atom

a b c (Å): 8.675 8.675 8.675
angles (deg): 90.00 90.00 90.00
Space group F-43m (No. 216)
One atom of each set of equivalent atoms:
Ca 0.000 0.000 0.000 [4 per cell]
Ac 0.250 0.250 0.750 [4 per cell]
Cd 0.125 0.125 0.375 [16 per cell]



Entry from the Alexandria database: crystalline Cs3Tl2AgI6 at its relaxed geometry (PBE).

## Properties
Raw formation energy: -1142.4 kJ/mol of formula units

a b c (Å): 8.893 16.174 8.918
angles (deg): 90.00 109.87 90.00
Space group C2/m (No. 12)
One atom of each set of equivalent atoms:
Cs 0.000 0.000 0.000 [2 per cell]
Cs 0.000 0.336 0.000 [4 per cell]
Tl 0.000 0.176 0.500 [4 per cell]
Ag 0.000 0.500 0.500 [2 per cell]
I 0.207 0.500 0.324 [4 per cell]
I 0.245 0.333 0.729 [8 per cell]



Entry from the Alexandria database: crystalline LiHoTlCd at its relaxed geometry (PBE).

## Properties
ΔH_f (0 K): -300 meV/atom

a b c (Å): 7.197 7.197 7.197
angles (deg): 90.00 90.00 90.00
Space group F-43m (No. 216)
One atom of each set of equivalent atoms:
Li 0.000 0.000 0.000 [4 per cell]
Ho 0.000 0.000 0.500 [4 per cell]
Tl 0.250 0.250 0.250 [4 per cell]
Cd 0.250 0.250 0.750 [4 per cell]



Entry from the Alexandria database: crystalline TlCdB3 at its relaxed geometry (PBE).

## Properties
ΔH_f (0 K): 2379 meV/atom

a b c (Å): 4.624 4.624 4.624
angles (deg): 90.00 90.00 90.00
Space group Pm-3m (No. 221)
One atom of each set of equivalent atoms:
Tl 0.000 0.000 0.000 [1 per cell]
Cd 0.500 0.500 0.500 [1 per cell]
B 0.000 0.000 0.500 [3 per cell]



Entry from the Alexandria database: crystalline Hg4Bi3Pb2 at its relaxed geometry (PBE).

## Properties
ΔH_f (0 K): 40 meV/atom

a b c (Å): 4.520 6.770 9.723
angles (deg): 89.90 88.69 70.71
Space group P-1 (No. 2)
One atom of each set of equivalent atoms:
Hg 0.046 0.421 0.151 [2 per cell]
Hg 0.326 0.841 0.983 [2 per cell]
Bi 0.000 0.500 0.500 [1 per cell]
Bi 0.384 0.750 0.308 [2 per cell]
Pb 0.299 0.887 0.639 [2 per cell]



Entry from the Alexandria database: crystalline Sm2TcAg at its relaxed geometry (PBE).

## Properties
ΔH_f (0 K): -111 meV/atom

a b c (Å): 3.530 3.530 7.551
angles (deg): 90.00 90.00 90.00
Space group P4/mmm (No. 123)
One atom of each set of equivalent atoms:
Sm 0.000 0.000 0.223 [2 per cell]
Tc 0.500 0.500 0.000 [1 per cell]
Ag 0.500 0.500 0.500 [1 per cell]



Entry from the Alexandria database: crystalline LiSbTe4 at its relaxed geometry (PBE).

## Properties
Raw formation energy: 170.7 kJ/mol of formula units

a b c (Å): 9.031 9.031 9.031
angles (deg): 90.00 90.00 90.00
Space group F-43m (No. 216)
One atom of each set of equivalent atoms:
Li 0.000 0.000 0.000 [4 per cell]
Sb 0.250 0.250 0.750 [4 per cell]
Te 0.124 0.124 0.376 [16 per cell]



Entry from the Alexandria database: crystalline CeErPuZn at its relaxed geometry (PBE).

## Properties
ΔH_f (0 K): 45 meV/atom

a b c (Å): 7.327 7.327 7.327
angles (deg): 90.00 90.00 90.00
Space group F-43m (No. 216)
One atom of each set of equivalent atoms:
Ce 0.000 0.000 0.000 [4 per cell]
Er 0.000 0.000 0.500 [4 per cell]
Pu 0.250 0.250 0.750 [4 per cell]
Zn 0.250 0.250 0.250 [4 per cell]



Number 1: magnetization 22.85 μB/f.u.. Number 2: magnetization 0.00 μB/f.u.. Number 3: magnetization 0.00 μB/f.u.. Number 4: magnetization 0.00 μB/f.u.. Number 5: magnetization 0.00 μB/f.u.. Number 6: magnetization 0.00 μB/f.u.. Number 7: magnetization 0.00 μB/f.u.. Number 8: magnetization 0.00 μB/f.u.. Number 9: magnetization 0.00 μB/f.u.. Number 10: magnetization 0.00 μB/f.u.. Number 11: magnetization 0.00 μB/f.u.. Number 12: magnetization 8.58 μB/f.u..